[1]
A geometry-optimized CaZn4Au8 structure, computed with PBE.

Unit cell a=5.4887 b=7.0946 c=7.0946 alpha=81.39 beta=67.24 gamma=67.24
Element x y z (fractional)
Ca (0.0000, 0.0000, 0.0000)
Zn (0.0000, 0.0000, 0.5000)
Zn (0.5000, 0.0000, 0.5000)
Zn (0.0000, 0.5000, 0.0000)
Zn (0.5000, 0.5000, 0.0000)
Au (0.0000, 0.3345, 0.6655)
Au (0.0000, 0.6655, 0.3345)
Au (0.3345, 0.6655, 0.6655)
Au (0.6655, 0.3345, 0.3345)
Au (0.5000, 0.7807, 0.2193)
Au (0.5000, 0.2193, 0.7807)
Au (0.2807, 0.2193, 0.2193)
Au (0.7193, 0.7807, 0.7807)

Output
For the energy of formation, the calculation gives -0.332 eV per atom. As for the density of states at the Fermi level: 4.4 states/eV/f.u.

[2]
A geometry-optimized Ca4Zn3Au structure, computed with PBE.

Unit cell a=4.1325 b=4.4926 c=11.3265 alpha=90.00 beta=90.00 gamma=90.00
Element x y z (fractional)
Ca (0.5000, 0.5000, 0.3505)
Ca (0.0000, 0.5000, 0.8587)
Ca (0.0000, 0.0000, 0.1438)
Ca (0.5000, 0.0000, 0.6461)
Au (0.5000, 0.5000, 0.0691)
Zn (0.0000, 0.5000, 0.5647)
Zn (0.0000, 0.0000, 0.4348)
Zn (0.5000, 0.0000, 0.9322)

Output
For the energy of formation, the calculation gives -0.398 eV per atom. As for the density of states at the Fermi level: 5.5 states/eV/f.u.

[3]
A geometry-optimized CaZn6Au6 structure, computed with PBE.

Unit cell a=5.2629 b=7.0507 c=7.0507 alpha=80.57 beta=68.09 gamma=68.09
Element x y z (fractional)
Ca (0.0000, 0.0000, 0.0000)
Zn (0.0000, 0.5000, 0.0000)
Zn (0.5000, 0.5000, 0.0000)
Zn (0.0000, 0.0000, 0.5000)
Zn (0.5000, 0.0000, 0.5000)
Zn (0.5000, 0.7618, 0.2382)
Zn (0.5000, 0.2382, 0.7618)
Au (0.3413, 0.6587, 0.6587)
Au (0.6587, 0.3413, 0.3413)
Au (0.0000, 0.3379, 0.6621)
Au (0.0000, 0.6621, 0.3379)
Au (0.3202, 0.1798, 0.1798)
Au (0.6798, 0.8202, 0.8202)

Output
For the energy of formation, the calculation gives -0.338 eV per atom. As for the density of states at the Fermi level: 2.2 states/eV/f.u.

The energy results, record by record, are as follows: -37.63; -18.29; -33.71 eV for the cell shown.